No. 1
Density functional theory data (PBE) for an optimized crystal structure of MgTe2Au.

Lattice parameters (Å, degrees): 8.3045 4.1186 6.8345 90.00 111.67 90.00
With the nearest neighbours (Å) after each atom.
Space group Cm (No. 8)
Inequivalent atoms, fractional coordinates:
Mg1 0.0000 0.0000 0.0000 x2  3 Au 2.76-3.01, 3 Te 2.79-2.98
Te1 0.2672 0.5000 0.2079 x2  3 Mg 2.79-2.98
Te2 0.4744 0.0000 0.6188 x2  3 Au 2.72-2.86
Au1 0.2262 0.0000 0.7893 x2  3 Te 2.72-2.86, 3 Mg 2.76-3.01

Results
Magnetization = 0.00 μB per formula unit
Formation energy (no corrections) = -0.329 eV per atom
Energy = -24.9 eV for the cell shown
D(E_F) = 2.5 states/eV/cell

No. 2
Density functional theory data (PBE) for an optimized crystal structure of LiCa2ZnPd6.

Lattice parameters (Å, degrees): 9.1275 9.0980 6.2153 90.00 132.69 90.00
With the nearest neighbours (Å) after each atom.
Space group C2/m (No. 12)
Inequivalent atoms, fractional coordinates:
Li1 0.0000 0.0000 0.0000 x2  6 Pd 2.17-2.20
Ca1 0.0000 0.2714 0.5000 x4  12 Pd 3.12-3.36
Zn1 0.0000 0.5000 0.0000 x2  6 Pd 2.38-2.40
Pd1 0.0000 0.2388 0.0000 x4  1 Li 2.17, 1 Zn 2.38
Pd2 0.2129 0.0000 0.9436 x4  1 Li 2.20, 1 Zn 2.40
Pd3 0.2153 0.0000 0.4820 x4  1 Li 2.20, 1 Zn 2.40

Results
Magnetization = 0.00 μB per formula unit
ΔH_f (0 K) = -29.3 kJ per mole of atoms
Energy = -82.8 eV for the cell shown
D(E_F) = 3.8 states/eV/cell

No. 3
Density functional theory data (PBE) for an optimized crystal structure of KReAs.

Lattice parameters (Å, degrees): 3.2473 3.2473 12.7834 90.00 90.00 90.00
With the nearest neighbours (Å) after each atom.
Space group I4mm (No. 107)
Inequivalent atoms, fractional coordinates:
K1 0.0000 0.0000 0.0000 x2  4 K 3.25, 4 As 3.49, 4 Re 3.56
Re1 0.0000 0.0000 0.2870 x2  4 As 2.52
As1 0.0000 0.0000 0.7057 x2  4 Re 2.52

Results
Magnetization = 0.56 μB per formula unit
Relative energy among the computed polymorphs = 0 meV/atom
ΔH_f (0 K) = 43.4 kJ per mole of atoms
Energy = -33.7 eV for the cell shown
D(E_F) = 6.1 states/eV/cell

No. 4
Density functional theory data (PBE) for an optimized crystal structure of Y2CdTc.

Lattice parameters (Å, degrees): 3.8347 3.8347 6.4680 90.00 90.00 90.00
With the nearest neighbours (Å) after each atom.
Space group P4mm (No. 99)
Inequivalent atoms, fractional coordinates:
Y1 0.0000 0.0000 0.0000 x1  1 Cd 2.88, 4 Tc 2.95
Y2 0.5000 0.5000 0.3200 x1  4 Cd 3.11, 2 Tc 3.23-3.24, 4 Y 3.41
Cd1 0.0000 0.0000 0.5554 x1  5 Y 2.88-3.11, 4 Tc 3.21
Tc1 0.5000 0.5000 0.8212 x1  6 Y 2.95-3.24, 4 Cd 3.21

Results
Magnetization = 0.00 μB per formula unit
ΔH_f (0 K) = 17.9 kJ per mole of atoms
Energy = -23.5 eV for the cell shown
D(E_F) = 3.8 states/eV/cell